Entry 1:
{
  "formula": "Cu6GeAu3",
  "functional": "PBE",
  "state": "relaxed",
  "lattice": [[-2.212, 3.606, -1.409], [4.212, 0.265, -5.931], [-7.950, -5.330, -1.162]],
  "species": ["Ge", "Ge", "Cu", "Cu", "Cu", "Cu", "Cu", "Cu", "Cu", "Cu", "Cu", "Cu", "Cu", "Cu", "Au", "Au", "Au", "Au", "Au", "Au"],
  "fractional_positions": [[0.250, 0.956, 0.575], [0.750, 0.044, 0.425], [0.750, 0.321, 0.323], [0.250, 0.163, 0.169], [0.250, 0.877, 0.275], [0.250, 0.245, 0.460], [0.250, 0.462, 0.072], [0.750, 0.755, 0.540], [0.250, 0.056, 0.867], [0.750, 0.837, 0.831], [0.750, 0.538, 0.928], [0.250, 0.679, 0.677], [0.750, 0.123, 0.725], [0.750, 0.944, 0.133], [0.250, 0.773, 0.977], [0.750, 0.644, 0.227], [0.250, 0.549, 0.376], [0.750, 0.451, 0.624], [0.750, 0.227, 0.023], [0.250, 0.356, 0.773]],
  "ef_ev_per_atom": -0.01
}

=====

Entry 2:
{
  "formula": "CuGeAu4",
  "functional": "PBE",
  "state": "relaxed",
  "lattice": [[4.634, 0.217, 0.705], [2.082, 4.146, 0.705], [-0.896, -0.582, 5.595]],
  "species": ["Ge", "Cu", "Au", "Au", "Au", "Au"],
  "fractional_positions": [[0.500, 0.500, 0.500], [0.000, 0.000, 0.000], [0.169, 0.169, 0.602], [0.831, 0.831, 0.398], [0.334, 0.334, 0.079], [0.666, 0.666, 0.921]],
  "relative_energy_ev_per_atom": 0.000,
  "ef_ev_per_atom": 0.04
}

=====

Entry 3:
{
  "formula": "Cu6GeAu12",
  "functional": "PBE",
  "state": "relaxed",
  "lattice": [[7.150, -0.247, -0.296], [-1.328, 7.030, -0.296], [-1.328, -1.547, 6.864]],
  "species": ["Cu", "Cu", "Cu", "Cu", "Cu", "Cu", "Au", "Au", "Au", "Au", "Au", "Au", "Au", "Au", "Au", "Au", "Au", "Au", "Ge"],
  "fractional_positions": [[0.565, 0.741, 0.818], [0.741, 0.818, 0.565], [0.182, 0.435, 0.259], [0.435, 0.259, 0.182], [0.259, 0.182, 0.435], [0.818, 0.565, 0.741], [0.972, 0.848, 0.317], [0.473, 0.363, 0.819], [0.527, 0.637, 0.181], [0.028, 0.152, 0.683], [0.819, 0.473, 0.363], [0.637, 0.181, 0.527], [0.848, 0.317, 0.972], [0.683, 0.028, 0.152], [0.317, 0.972, 0.848], [0.181, 0.527, 0.637], [0.363, 0.819, 0.473], [0.152, 0.683, 0.028], [0.000, 0.000, 0.000]],
  "relative_energy_ev_per_atom": 0.111,
  "ef_ev_per_atom": 0.12
}

=====

Entry 4:
{
  "formula": "Cu6Ge2Au",
  "functional": "PBE",
  "state": "relaxed",
  "lattice": [[2.772, 0.000, 0.000], [1.386, 7.192, 0.890], [1.386, 2.918, 6.634]],
  "species": ["Ge", "Ge", "Cu", "Cu", "Cu", "Cu", "Cu", "Cu", "Au"],
  "fractional_positions": [[0.348, 0.152, 0.152], [0.652, 0.848, 0.848], [0.000, 0.829, 0.171], [0.174, 0.151, 0.500], [0.174, 0.500, 0.151], [0.000, 0.171, 0.829], [0.826, 0.500, 0.849], [0.826, 0.849, 0.500], [0.500, 0.500, 0.500]],
  "relative_energy_ev_per_atom": 0.016,
  "ef_ev_per_atom": 0.06
}

=====

Entry 5:
{
  "formula": "Cu6GeAu5",
  "functional": "PBE",
  "state": "relaxed",
  "lattice": [[-2.785, 3.100, -1.038], [0.688, -1.485, -6.284], [-3.797, -5.007, 4.123]],
  "species": ["Cu", "Cu", "Cu", "Cu", "Cu", "Cu", "Au", "Au", "Au", "Au", "Au", "Ge"],
  "fractional_positions": [[0.159, 0.395, 0.318], [0.841, 0.078, 0.682], [0.500, 0.778, 0.000], [0.841, 0.605, 0.682], [0.159, 0.922, 0.318], [0.500, 0.222, 0.000], [0.319, 0.819, 0.638], [0.000, 0.500, 0.000], [0.339, 0.339, 0.679], [0.661, 0.661, 0.321], [0.681, 0.181, 0.362], [0.000, 0.000, 0.000]],
  "ef_ev_per_atom": -0.02
}

=====

Entry 6:
{
  "formula": "Cu2GeAu",
  "functional": "PBE",
  "state": "relaxed",
  "lattice": [[-0.742, 3.086, 0.281], [-2.575, -0.775, 1.709], [3.162, 0.313, 4.907]],
  "species": ["Ge", "Cu", "Cu", "Au"],
  "fractional_positions": [[0.500, 0.500, 0.500], [0.000, 0.000, 0.265], [0.000, 0.000, 0.735], [0.500, 0.500, 0.000]],
  "ef_ev_per_atom": 0.03
}

=====

Entry 7:
{
  "formula": "Cu4GeAu4",
  "functional": "PBE",
  "state": "relaxed",
  "lattice": [[3.713, 0.000, 0.000], [1.857, 6.141, 0.000], [1.857, 0.000, 6.141]],
  "species": ["Ge", "Au", "Au", "Au", "Au", "Cu", "Cu", "Cu", "Cu"],
  "fractional_positions": [[0.000, 0.000, 0.000], [0.333, 0.334, 0.001], [0.333, 0.999, 0.334], [0.667, 0.001, 0.666], [0.667, 0.666, 0.999], [0.000, 0.352, 0.649], [0.351, 0.649, 0.648], [0.000, 0.648, 0.351], [0.649, 0.351, 0.352]],
  "ef_ev_per_atom": 0.03
}

=====

Entry 8:
{
  "formula": "Cu4Ge2Au5",
  "functional": "PBE",
  "state": "relaxed",
  "lattice": [[-3.896, 0.496, 0.810], [1.498, -3.721, 9.487], [2.892, 3.307, 1.959]],
  "species": ["Au", "Au", "Au", "Au", "Au", "Cu", "Cu", "Cu", "Cu", "Ge", "Ge"],
  "fractional_positions": [[0.224, 0.898, 0.448], [0.135, 0.564, 0.269], [0.776, 0.102, 0.552], [0.500, 0.000, 0.000], [0.865, 0.436, 0.731], [0.055, 0.178, 0.110], [0.945, 0.822, 0.890], [0.330, 0.264, 0.660], [0.670, 0.736, 0.340], [0.595, 0.349, 0.190], [0.405, 0.651, 0.810]],
  "relative_energy_ev_per_atom": 0.000,
  "ef_ev_per_atom": 0.03
}

=====

Entry 9:
{
  "formula": "Cu2GeAu8",
  "functional": "PBE",
  "state": "relaxed",
  "lattice": [[4.784, 0.538, 0.447], [0.888, 6.737, -0.418], [0.888, 0.821, 6.700]],
  "species": ["Au", "Au", "Au", "Au", "Au", "Au", "Au", "Au", "Cu", "Cu", "Ge"],
  "fractional_positions": [[0.303, 0.419, 0.419], [0.207, 0.326, 0.852], [0.904, 0.269, 0.269], [0.096, 0.731, 0.731], [0.697, 0.581, 0.581], [0.793, 0.674, 0.148], [0.207, 0.852, 0.326], [0.793, 0.148, 0.674], [0.486, 0.135, 0.135], [0.514, 0.865, 0.865], [0.000, 0.000, 0.000]],
  "relative_energy_ev_per_atom": 0.089,
  "ef_ev_per_atom": 0.13
}

=====

Entry 10:
{
  "formula": "Cu6GeAu",
  "functional": "PBE",
  "state": "relaxed",
  "lattice": [[4.344, 0.000, 0.000], [0.000, 5.308, -0.174], [0.000, -2.506, 4.683]],
  "species": ["Au", "Cu", "Cu", "Cu", "Cu", "Cu", "Cu", "Ge"],
  "fractional_positions": [[0.000, 0.083, 0.917], [0.500, 0.911, 0.571], [0.000, 0.585, 0.921], [0.500, 0.429, 0.089], [0.000, 0.585, 0.415], [0.000, 0.079, 0.415], [0.500, 0.911, 0.089], [0.500, 0.417, 0.583]],
  "ef_ev_per_atom": -0.01
}

=====

Entry 11:
{
  "formula": "Cu2GeAu",
  "functional": "PBE",
  "state": "relaxed",
  "lattice": [[-1.518, -2.355, 4.540], [2.617, -5.812, -2.139], [5.945, 1.534, 3.106]],
  "species": ["Cu", "Cu", "Cu", "Cu", "Cu", "Cu", "Cu", "Cu", "Ge", "Ge", "Ge", "Ge", "Au", "Au", "Au", "Au"],
  "fractional_positions": [[0.030, 0.131, 0.796], [0.470, 0.631, 0.204], [0.970, 0.869, 0.204], [0.985, 0.180, 0.425], [0.485, 0.320, 0.425], [0.015, 0.820, 0.575], [0.530, 0.369, 0.796], [0.515, 0.680, 0.575], [0.372, 0.962, 0.340], [0.128, 0.462, 0.660], [0.872, 0.538, 0.340], [0.628, 0.038, 0.660], [0.679, 0.157, 0.092], [0.179, 0.343, 0.092], [0.321, 0.843, 0.908], [0.821, 0.657, 0.908]],
  "ef_ev_per_atom": 0.07
}

=====

Entry 12:
{
  "formula": "CuGeAu4",
  "functional": "PBE",
  "state": "relaxed",
  "lattice": [[-4.750, 3.048, -0.791], [-0.696, -2.753, 4.942], [5.636, 5.354, 1.432]],
  "species": ["Au", "Au", "Au", "Au", "Au", "Au", "Au", "Au", "Ge", "Ge", "Cu", "Cu"],
  "fractional_positions": [[0.998, 0.240, 0.952], [0.543, 0.286, 0.047], [0.240, 0.998, 0.452], [0.760, 0.002, 0.548], [0.714, 0.457, 0.453], [0.286, 0.543, 0.547], [0.457, 0.714, 0.953], [0.002, 0.760, 0.048], [0.874, 0.126, 0.250], [0.126, 0.874, 0.750], [0.625, 0.375, 0.750], [0.375, 0.625, 0.250]],
  "relative_energy_ev_per_atom": 0.032,
  "ef_ev_per_atom": 0.07
}

=====

no.,V (A^3/atom),magnetization (μB per atom)
1,14.35,0.000
2,18.08,0.000
3,17.69,0.000
4,13.89,0.000
5,14.94,0.000
6,14.84,0.000
7,15.56,0.000
8,15.96,0.000
9,19.26,0.000
10,13.26,0.000
11,15.41,0.000
12,18.58,0.000